# 1
DFT (PBE) results for crystalline TaH3Cl at its relaxed geometry.

Cell lengths 3.556, 3.556, 3.556 Å; angles 90.00, 90.00, 90.00 degrees
Space group Pm-3m (No. 221)
Asymmetric unit:
Ta1 0.000 0.000 0.000 x1
H1 0.000 0.500 0.500 x3
Cl1 0.500 0.500 0.500 x1

Summary:
Its energy relative to the lowest polymorph listed for this composition is 1263 meV per atom. The calculation puts the electronic total energy at -3.16 eV per atom.

# 2
DFT (PBE) results for crystalline HoScU2As4 at its relaxed geometry.

Cell lengths 6.978, 4.014, 7.038 Å; angles 90.00, 109.16, 90.00 degrees
Space group P2/m (No. 10)
Asymmetric unit:
Ho1 0.000 0.000 0.000 x1
Sc1 0.500 0.500 0.000 x1
U1 0.000 0.500 0.500 x1
U2 0.500 0.000 0.500 x1
As1 0.255 0.500 0.246 x2
As2 0.259 0.000 0.758 x2

Summary:
The calculation puts the formation energy at -1.058 eV per atom. The calculation puts the electronic total energy at -7.57 eV per atom.

# 3
DFT (PBE) results for crystalline Tl6AgO8 at its relaxed geometry.

Cell lengths 9.4675, 9.4675, 3.8639 Å; angles 90.00, 90.00, 120.00 degrees
Space group P-3 (No. 147)
Asymmetric unit:
Tl1 0.1578 0.4027 0.2649 x6
Ag1 0.0000 0.0000 0.0000 x1
O1 0.0297 0.2949 0.7673 x6
O2 0.3333 0.6667 0.3465 x2

Summary:
The uncorrected formation energy is -7.13 eV/f.u. The calculation puts the electronic total energy at -4.26 eV per atom.

What is the electronic total energy in the first record? -3.16 eV per atom

Copy entry 1 word for word.
DFT (PBE) results for crystalline TaH3Cl at its relaxed geometry.

Cell lengths 3.556, 3.556, 3.556 Å; angles 90.00, 90.00, 90.00 degrees
Space group Pm-3m (No. 221)
Asymmetric unit:
Ta1 0.000 0.000 0.000 x1
H1 0.000 0.500 0.500 x3
Cl1 0.500 0.500 0.500 x1

Summary:
Its energy relative to the lowest polymorph listed for this composition is 1263 meV per atom. The calculation puts the electronic total energy at -3.16 eV per atom.